LiBSe2 PBE-GGA optimized geometry; magnetic moment = 0.000 μB per formula unit; DFT total energy = -4.354 eV per atom; formation energy (no corrections) = -0.4644 eV per atom; DOS at the Fermi energy = 0.00 states/eV/cell
1.0
7.0868 0.0000 0.0000
0.0000 7.0868 0.0000
3.5434 3.5434 2.7906
Li Se B
2 4 2
Direct
0.2500 0.2500 0.5000 Li
0.7500 0.7500 0.5000 Li
0.1548 0.6548 0.0000 Se
0.3452 0.1548 0.0000 Se
0.8452 0.3452 0.0000 Se
0.6548 0.8452 0.0000 Se
0.7500 0.2500 0.5000 B
0.2500 0.7500 0.5000 B

***

CaBeCl4 PBE-GGA optimized geometry; magnetic moment = 0.000 μB per formula unit; energy above the lowest structure with this stoichiometry = 0.0035 eV/atom; DFT total energy = -4.059 eV per atom; formation energy (no corrections) = -1.8730 eV per atom; DOS at the Fermi energy = 0.00 states/eV/cell
1.0
6.2500 0.0915 0.0000
-2.4255 5.7609 0.0000
0.0000 0.0000 8.5727
Be Cl Ca
2 8 2
Direct
0.3550 0.6450 0.2500 Be
0.6450 0.3550 0.7500 Be
0.7607 0.7185 0.7500 Cl
0.7185 0.7607 0.2500 Cl
0.7407 0.2593 0.9505 Cl
0.2593 0.7407 0.4505 Cl
0.7407 0.2593 0.5495 Cl
0.2593 0.7407 0.0495 Cl
0.2815 0.2393 0.7500 Cl
0.2393 0.2815 0.2500 Cl
0.0000 0.0000 0.0000 Ca
0.0000 0.0000 0.5000 Ca

***

ScHgTeI2 PBE-GGA optimized geometry; magnetic moment = 0.863 μB per formula unit; energy above the lowest structure with this stoichiometry = 0.8146 eV/atom; DFT total energy = -2.321 eV per atom; formation energy (no corrections) = 0.2545 eV per atom; DOS at the Fermi energy = 6.99 states/eV/cell
1.0
-3.7443 4.2071 -1.2225
-4.3423 -3.3501 1.7706
0.5831 2.0758 5.3577
Te Sc Hg I
1 1 1 2
Direct
0.0000 0.0000 0.5000 Te
0.5000 0.5000 0.5000 Sc
0.0000 0.0000 0.0000 Hg
0.5000 0.0000 0.0000 I
0.0000 0.5000 0.0000 I

***

LaCo2Tc PBE-GGA optimized geometry; magnetic moment = 3.883 μB per formula unit; energy above the lowest structure with this stoichiometry = 0.3748 eV/atom; DFT total energy = -6.975 eV per atom; E_form = 0.40 eV per atom; DOS at the Fermi energy = 2.74 states/eV/cell
1.0
-2.4995 0.1213 3.8079
2.8647 -2.9426 1.9740
1.7626 2.4399 1.0793
Co La Tc
2 1 1
Direct
0.0000 0.0000 0.0000 Co
0.5000 0.5000 0.0000 Co
0.5000 0.0000 0.5000 La
0.0000 0.5000 0.5000 Tc

***

Tb2CeSnN PBE-GGA optimized geometry; magnetic moment = 0.818 μB per formula unit; DFT total energy = -6.502 eV per atom; formation energy (no corrections) = -0.9977 eV per atom; DOS at the Fermi energy = 6.88 states/eV/cell
1.0
4.8453 0.0000 0.0000
0.0000 4.8693 0.0000
0.0000 0.0000 4.8693
Sn Ce N Tb
1 1 1 2
Direct
0.5000 0.5000 0.5000 Sn
0.5000 0.0000 0.0000 Ce
0.0000 0.0000 0.0000 N
0.0000 0.5000 0.0000 Tb
0.0000 0.0000 0.5000 Tb

***

BaRh2Se PBE-GGA optimized geometry; magnetic moment = 0.000 μB per formula unit; DFT total energy = -5.463 eV per atom; formation energy (no corrections) = -0.4354 eV per atom; DOS at the Fermi energy = 3.75 states/eV/cell
1.0
-2.5973 3.2871 -1.2680
-4.2764 -0.1044 0.9274
-1.3005 3.6778 4.6869
Se Rh Ba
1 2 1
Direct
0.7500 0.7500 0.7500 Se
0.0537 0.0537 0.8394 Rh
0.4463 0.4463 0.6606 Rh
0.2500 0.2500 0.2500 Ba